1.
VASP calculation (PBE-GGA) on a geometry-optimized La2NdMg2Si4Au2 structure.

```
La2NdMg2Si4Au2
1.0
-2.1544 2.1774 13.0991
2.1544 -2.1774 13.0991
2.1544 2.1774 -13.0991
La Nd Mg Si Au
2 1 2 4 2
Direct
0.1400 0.1400 0.0000 La
0.8600 0.8600 0.0000 La
0.5000 0.0000 0.5000 Nd
0.2499 0.7499 0.5000 Mg
0.7501 0.2501 0.5000 Mg
0.0452 0.5452 0.5000 Si
0.3136 0.3136 0.0000 Si
0.6864 0.6864 0.0000 Si
0.9548 0.4548 0.5000 Si
0.4096 0.4096 0.0000 Au
0.5904 0.5904 0.0000 Au
```

2.
VASP calculation (PBE-GGA) on a geometry-optimized GdBiTe structure.

```
GdBiTe
1.0
0.0000 3.7023 3.7023
3.7023 0.0000 3.7023
3.7023 3.7023 0.0000
Gd Bi Te
1 1 1
Direct
0.0000 0.0000 0.0000 Gd
0.5000 0.5000 0.5000 Bi
0.7500 0.7500 0.7500 Te
```

3.
VASP calculation (PBE-GGA) on a geometry-optimized LaNbSn2Pt2 structure.

```
LaNbSn2Pt2
1.0
4.5892 0.0000 0.0000
0.0000 9.3290 0.0000
0.0000 0.0000 6.6146
La Nb Sn Pt
2 2 4 4
Direct
0.0000 0.1211 0.0000 La
0.5000 0.8789 0.5000 La
0.0000 0.6190 0.9993 Nb
0.5000 0.3810 0.4993 Nb
0.0000 0.1416 0.4918 Sn
0.0000 0.6182 0.5179 Sn
0.5000 0.3818 0.0179 Sn
0.5000 0.8584 0.9918 Sn
0.0000 0.3938 0.2631 Pt
0.0000 0.8424 0.2268 Pt
0.5000 0.1576 0.7268 Pt
0.5000 0.6062 0.7631 Pt
```

4.
VASP calculation (PBE-GGA) on a geometry-optimized Hf2Al2FeNiIr2 structure.

```
Hf2Al2FeNiIr2
1.0
4.3828 0.0000 0.0000
0.0000 4.3828 0.0000
0.0000 0.0000 6.2038
Hf Al Fe Ni Ir
2 2 1 1 2
Direct
0.0000 0.5000 0.2503 Hf
0.5000 0.0000 0.7497 Hf
0.0000 0.5000 0.7498 Al
0.5000 0.0000 0.2502 Al
0.0000 0.0000 0.5000 Fe
0.5000 0.5000 0.0000 Ni
0.0000 0.0000 0.0000 Ir
0.5000 0.5000 0.5000 Ir
```

Q: Which E_tot values were calculated for the entries above? A: -4.871, -4.300, -6.631, -8.159, in eV per atom.